This record from Alexandria describes an optimized crystal structure of CrIn5. The functional is PBE.

POSCAR file:
```
CrIn5
1.0
3.2158 0.0000 0.0000
0.0000 3.2158 0.0000
0.0000 0.0000 14.0646
Cr In
1 5
Cartesian
1.6079 1.6079 0.0000
0.0000 0.0000 12.2055
0.0000 0.0000 1.8591
1.6079 1.6079 9.6632
1.6079 1.6079 4.4014
0.0000 0.0000 7.0323
```

Output
For the formation energy from the elements, the calculation gives 0.1712 eV per atom. The excess energy over the best structure of this formula in the dataset comes out at 0 meV/atom. The total energy comes out at -3.71 eV/atom.